Record 1
A relaxed structure of Co3P4, computed with PBE.

Computed properties:
Crystal system: tetragonal
Energy of formation: -0.082 eV per atom
M_tot: 0.05 Bohr magnetons per cell

```
Co3P4
1.0
-1.556 1.556 8.652
1.556 -1.556 8.652
1.556 1.556 -8.652
P Co
4 3
Cartesian
0.000 0.000 2.873
0.000 0.000 9.835
0.000 0.000 14.432
0.000 0.000 7.470
0.000 0.000 0.000
0.000 0.000 5.153
0.000 0.000 12.152
```

***

Record 2
A relaxed structure of CoP, computed with PBE.

Computed properties:
Crystal system: trigonal
Energy of formation: -0.261 eV per atom
M_tot: 0.00 Bohr magnetons per cell

```
CoP
1.0
-2.397 0.347 2.697
3.076 -1.843 0.535
5.980 11.110 3.888
Co P
6 6
Cartesian
1.597 -0.470 1.480
1.647 3.060 1.071
4.892 5.651 3.622
5.061 10.084 5.639
4.333 8.049 2.817
1.766 3.963 3.497
2.609 1.410 2.138
0.635 1.181 0.413
3.880 3.771 2.965
4.049 8.204 4.981
5.344 9.929 3.475
2.778 5.843 4.155
```

***

Record 3
A relaxed structure of CoP5, computed with PBE.

Computed properties:
Crystal system: hexagonal
Energy of formation: 0.539 eV per atom
M_tot: 0.89 Bohr magnetons per cell

```
CoP5
1.0
2.372 -4.108 0.000
2.372 4.108 0.000
0.000 0.000 4.362
P Co
5 1
Cartesian
1.294 0.000 0.000
2.372 -1.369 2.181
1.725 2.987 0.000
1.725 -2.987 0.000
2.372 1.369 2.181
0.000 0.000 2.181
```

***

Record 4
A relaxed structure of CoP, computed with PBE.

Computed properties:
Crystal system: trigonal
Energy of formation: -0.211 eV per atom
M_tot: 0.00 Bohr magnetons per cell

```
CoP
1.0
7.069 0.237 0.145
6.071 3.630 0.145
6.071 1.787 3.163
P Co
2 2
Cartesian
4.563 1.343 0.820
14.649 4.311 2.633
16.754 4.931 3.011
2.458 0.723 0.442
```

***

Record 5
A relaxed structure of CoP3, computed with PBE.

Computed properties:
Crystal system: tetragonal
Energy of formation: 0.218 eV per atom
M_tot: 0.63 Bohr magnetons per cell

```
CoP3
1.0
-2.469 -0.260 0.349
0.374 -2.296 0.934
0.945 4.122 9.748
P Co
3 1
Cartesian
-0.904 -0.653 2.119
0.472 2.061 4.874
-0.246 2.219 8.913
0.000 0.000 0.000
```

***

Record 6
A relaxed structure of CoP4, computed with PBE.

Computed properties:
Crystal system: tetragonal
Energy of formation: 0.190 eV per atom
M_tot: 0.00 Bohr magnetons per cell

```
CoP4
1.0
-0.568 1.631 4.237
2.038 3.039 -2.747
-4.127 -0.952 -1.732
P Co
4 1
Cartesian
-1.940 0.791 -0.564
0.178 2.034 2.240
1.293 2.636 -0.749
-0.716 2.927 0.323
0.000 0.000 0.000
```

***

Record 7
A relaxed structure of CoP, computed with PBE.

Computed properties:
Crystal system: cubic
Energy of formation: -0.283 eV per atom
M_tot: 0.00 Bohr magnetons per cell

```
CoP
1.0
-1.096 4.371 -0.084
-2.257 -0.640 -3.848
-3.743 -0.893 2.345
P Co
4 4
Cartesian
-0.476 0.190 -0.106
-5.091 1.368 0.474
-4.703 0.789 -2.296
-3.923 3.328 -1.245
-2.965 1.800 -3.511
-4.848 -0.927 0.032
-3.271 3.558 1.000
-3.108 1.243 -0.695
```

***

Record 8
A relaxed structure of CoP5, computed with PBE.

Computed properties:
Crystal system: orthorhombic
Energy of formation: -0.013 eV per atom
M_tot: 0.00 Bohr magnetons per cell

```
CoP5
1.0
5.360 1.421 -2.830
-6.147 -0.871 -0.458
-0.667 4.250 0.870
P Co
5 1
Cartesian
-1.123 0.130 -1.494
2.139 2.971 -1.800
1.657 0.683 -2.067
-2.141 2.118 -0.917
-6.092 1.331 -0.103
-5.474 -0.737 -0.597
```

***

Q: M_tot of number 8 (CoP5)?
A: 0.00 Bohr magnetons per cell

***

Q: Which value of M_tot does entry 7 give?
A: 0.00 Bohr magnetons per cell